[1]
The following is a DFT calculation (GGA-PBE) of crystalline TbYPb2 at its relaxed geometry.

Its final energy is -5.084 eV per atom.

The space group is P4/mmm (No. 123) and the conventional cell measures 3.561, 3.561 and 8.942 Å, with angles of 90.00, 90.00 and 90.00 degrees. The inequivalent atoms are Tb at (0.000, 0.000, 0.000), Y at (0.000, 0.000, 0.500) and Pb at (0.500, 0.500, 0.251).

---

[2]
The following is a DFT calculation (GGA-PBE) of crystalline TbY2Pb at its relaxed geometry.

The energy above the most stable polymorph in this dataset comes out at 297 meV/atom. Its final energy is -5.306 eV per atom.

The space group is R3m (No. 160, hexagonal axes) and the conventional cell measures 5.2163, 5.2163 and 17.1682 Å, with angles of 90.00, 90.00 and 120.00 degrees. The inequivalent atoms are Tb at (0.0000, 0.0000, 0.0000), Y at (0.0000, 0.0000, 0.2180), Y at (0.0000, 0.0000, 0.4382) and Pb at (0.0000, 0.0000, 0.8035).

---

[3]
The following is a DFT calculation (GGA-PBE) of crystalline Tb3YPb5 at its relaxed geometry.

Its final energy is -4.749 eV per atom.

The space group is P6_3/mcm (No. 193) and the conventional cell measures 9.5629, 9.5629 and 6.5635 Å, with angles of 90.00, 90.00 and 120.00 degrees. The inequivalent atoms are Tb at (0.0000, 0.3809, 0.2500), Y at (0.0000, 0.0000, 0.0000), Pb at (0.0000, 0.2881, 0.7500) and Pb at (0.3333, 0.6667, 0.0000).

---

[4]
The following is a DFT calculation (GGA-PBE) of crystalline Tb8Y6Pb at its relaxed geometry.

Its final energy is -5.231 eV per atom.

The space group is P-3 (No. 147) and the conventional cell measures 9.3493, 9.3493 and 6.4450 Å, with angles of 90.00, 90.00 and 120.00 degrees. The inequivalent atoms are Tb at (0.0409, 0.7733, 0.1812), Tb at (0.3333, 0.6667, 0.1829), Y at (0.0941, 0.6446, 0.6759) and Pb at (0.0000, 0.0000, 0.5000).

---

[5]
The following is a DFT calculation (GGA-PBE) of crystalline Tb5YPb6 at its relaxed geometry.

Its final energy is -4.774 eV per atom.

The space group is C2/m (No. 12) and the conventional cell measures 6.128, 15.314 and 7.832 Å, with angles of 90.00, 103.79 and 90.00 degrees. The inequivalent atoms are Tb at (0.000, 0.000, 0.000), Tb at (0.000, 0.333, 0.000), Tb at (0.000, 0.334, 0.500), Y at (0.000, 0.000, 0.500), Pb at (0.000, 0.166, 0.251) and Pb at (0.001, 0.500, 0.249).

---

[6]
The following is a DFT calculation (GGA-PBE) of crystalline TbYPb2 at its relaxed geometry.

Its final energy is -5.005 eV per atom.

The space group is R-3m (No. 166, hexagonal axes) and the conventional cell measures 3.9286, 3.9286 and 27.2776 Å, with angles of 90.00, 90.00 and 120.00 degrees. The inequivalent atoms are Tb at (0.0000, 0.0000, 0.0000), Y at (0.0000, 0.0000, 0.5000) and Pb at (0.0000, 0.0000, 0.2498).

---

[7]
The following is a DFT calculation (GGA-PBE) of crystalline TbY2Pb at its relaxed geometry.

The energy above the most stable polymorph in this dataset comes out at 331 meV/atom. Its final energy is -5.272 eV per atom.

The space group is R-3m (No. 166, hexagonal axes) and the conventional cell measures 3.5500, 3.5500 and 36.1021 Å, with angles of 90.00, 90.00 and 120.00 degrees. The inequivalent atoms are Tb at (0.0000, 0.0000, 0.0000), Y at (0.0000, 0.0000, 0.4122) and Pb at (0.0000, 0.0000, 0.5000).

---

[8]
The following is a DFT calculation (GGA-PBE) of crystalline TbYPb2 at its relaxed geometry.

Its final energy is -5.114 eV per atom.

The space group is Pmc2_1 (No. 26) and the conventional cell measures 4.443, 6.263 and 8.469 Å, with angles of 90.00, 90.00 and 90.00 degrees. The inequivalent atoms are Tb at (0.000, 0.119, 0.000), Y at (0.500, 0.382, 0.374), Pb at (0.000, 0.421, 0.644) and Pb at (0.500, 0.078, 0.730).

---

In the order shown, the computed DFT formation energy values come out to -456 10 -427 72 -452 -377 45 -486 meV per atom.
In the order shown, the computed DOS(E_F) values come out to 3.355 5.274 8.463 18.754 7.942 2.380 4.403 2.588 states/eV/f.u..